DFT (PBE) results for a relaxed structure of La2ZnNiPb.

Properties
Formation energy from the elements in eV/atom: -0.3920

Cell lengths 5.370, 5.370, 4.709 Å; angles 90.00, 90.00, 90.00 degrees
Space group P4/mmm (No. 123)
Inequivalent atoms, fractional coordinates:
La 0.000 0.500 0.000 [2 per cell]
Zn 0.000 0.000 0.500 [1 per cell]
Ni 0.000 0.000 0.000 [1 per cell]
Pb 0.500 0.500 0.500 [1 per cell]